TbPb GGA-PBE relaxed; V = 64 Å³/f.u.; symmetry = No. 194; total magnetic moment = 0.00 μB/f.u.; total DFT energy (no corrections) = -4.591 eV per atom
1.0
-1.343 3.358 -3.034
-3.039 -1.614 3.232
2.038 4.642 4.235
Pb Tb
2 2
Direct
0.000 0.000 0.500
0.000 0.000 0.000
0.333 0.667 0.250
0.667 0.333 0.750